No. 1
DFT (PBE-GGA) results for a relaxed LaAg2Br crystal.

The structure in extended XYZ format:
```
4
Lattice="-1.605 -2.212 -3.257 3.225 -2.756 0.283 -2.949 -3.086 3.549" Properties=species:S:1:pos:R:3 pbc="T T T"
Ag 0.810 -2.484 -1.487
La 0.138 -2.921 1.916
Ag 0.000 0.000 0.000
Br -2.277 -2.649 0.146
```

Values from the calculation:
**SG**: P4/mmm, No. 123
**Excess energy over the best structure of this formula in the dataset**: 0.258 eV/f.u.
**Formation energy (no corrections)**: -497 meV/atom
**D(E_F)**: 1.86 states/eV/f.u.
**VASP energy**: -3.573 eV per atom
**Spin magnetization**: 0.000 μB/cell

---

No. 2
DFT (PBE-GGA) results for a relaxed Dy5NiBi2 crystal.

The structure in extended XYZ format:
```
16
Lattice="5.392 0.000 0.000 -2.696 8.116 0.000 0.000 0.000 13.827" Properties=species:S:1:pos:R:3 pbc="T T T"
Bi 2.696 5.965 5.639
Dy 0.000 4.468 5.619
Dy 0.000 4.868 10.370
Dy 2.696 3.648 8.208
Dy 2.696 7.114 8.555
Dy 2.696 3.648 12.532
Ni 2.696 5.247 10.370
Dy 0.000 1.003 1.642
Ni 0.000 2.869 3.457
Bi 0.000 2.151 12.553
Dy 0.000 1.003 5.272
Bi 0.000 2.151 8.187
Dy 2.696 3.248 3.457
Dy 2.696 7.114 12.185
Bi 2.696 5.965 1.274
Dy 0.000 4.468 1.294
```

Values from the calculation:
**SG**: Cmcm, No. 63
**Excess energy over the best structure of this formula in the dataset**: 3.413 eV/f.u.
**D(E_F)**: 7.68 states/eV/f.u.
**Energy of formation**: -0.14 eV/atom
**VASP energy**: -4.712 eV per atom
**Spin magnetization**: 0.001 μB/cell

---

No. 3
DFT (PBE-GGA) results for a relaxed Rb3TmTa2O8 crystal.

The structure in extended XYZ format:
```
14
Lattice="6.231 0.000 0.000 -3.116 5.396 0.000 0.000 0.000 8.051" Properties=species:S:1:pos:R:3 pbc="T T T"
O 3.116 3.575 5.345
O 1.577 0.911 5.345
O -1.538 4.486 2.707
O 1.538 4.486 2.707
O 3.116 1.799 7.809
Tm 0.000 0.000 4.026
Rb 0.000 3.598 5.616
O 0.000 3.598 0.242
Ta 3.116 1.799 5.990
Rb 0.000 0.000 0.000
O 4.654 0.911 5.345
Rb 3.116 1.799 2.435
O 0.000 1.821 2.707
Ta 0.000 3.598 2.061
```

Values from the calculation:
**SG**: P-3m1, No. 164
**Formation energy (no corrections)**: -2694 meV/atom
**D(E_F)**: 0.00 states/eV/f.u.
**VASP energy**: -7.748 eV per atom
**Spin magnetization**: 0.000 μB/cell

---

No. 4
DFT (PBE-GGA) results for a relaxed GdH12Cl3O6 crystal.

The structure in extended XYZ format:
```
44
Lattice="6.645 0.000 0.000 0.000 7.900 0.001 0.000 7.389 9.666" Properties=species:S:1:pos:R:3 pbc="T T T"
H 1.633 3.984 0.328
H 6.116 4.510 2.586
O 0.370 4.153 2.781
H 0.529 8.204 7.419
H 4.495 6.364 4.489
O 6.275 11.136 6.885
H 3.678 10.498 3.699
O 2.862 3.074 3.395
H 5.982 8.325 8.434
O 3.784 6.768 8.228
O 1.936 3.065 0.538
H 0.663 4.631 3.601
H 2.151 8.925 5.178
Gd 5.608 5.541 7.249
H 1.633 7.611 4.505
H 2.968 4.791 5.968
O 1.936 8.530 4.296
Cl 5.530 2.027 0.587
H 2.151 10.058 9.322
H 3.463 11.354 6.636
H 5.013 11.305 9.338
H 0.529 10.779 7.081
Cl 2.379 9.492 7.250
O 6.275 7.848 7.614
H 4.495 5.231 0.345
Cl 5.530 9.568 4.246
H 6.116 7.084 2.248
H 3.463 7.629 7.863
O 3.784 12.215 6.271
H 5.013 7.678 5.161
H 3.182 3.934 3.030
O 4.709 12.224 9.129
O 0.370 7.441 2.052
O 4.709 6.759 5.371
Cl 4.266 5.797 2.417
O 2.862 8.521 1.438
H 3.678 1.097 1.135
H 2.968 14.192 8.532
Cl 1.116 5.721 5.420
H 5.982 10.658 6.066
H 3.182 7.660 1.803
Gd 1.037 1.847 2.416
H 0.663 6.964 1.233
Cl 1.116 13.262 9.079
```

Values from the calculation:
**SG**: P2/c, No. 13
**D(E_F)**: 0.00 states/eV/f.u.
**VASP energy**: -5.373 eV per atom
**Spin magnetization**: 13.658 μB/cell

---

No. 5
DFT (PBE-GGA) results for a relaxed Sc6SbSe5 crystal.

The structure in extended XYZ format:
```
12
Lattice="-1.913 4.148 5.046 -6.588 1.513 -0.688 -4.709 -3.903 2.949" Properties=species:S:1:pos:R:3 pbc="T T T"
Sc -5.864 0.615 1.938
Se -8.005 2.073 2.905
Sc -3.605 1.861 4.671
Se -5.206 -0.315 4.403
Sc -6.303 4.204 3.241
Se -3.769 -0.808 0.762
Se -4.251 2.830 2.179
Sc -9.606 -0.103 2.636
Sc -2.199 1.457 1.117
Sc -7.347 1.143 5.369
Se -7.528 -1.582 1.499
Sb 0.000 0.000 0.000
```

Values from the calculation:
**SG**: C2/m, No. 12
**Formation energy (no corrections)**: -1480 meV/atom
**D(E_F)**: 6.30 states/eV/f.u.
**VASP energy**: -6.441 eV per atom
**Spin magnetization**: 0.000 μB/cell

---

No. 6
DFT (PBE-GGA) results for a relaxed CaAcHgPt crystal.

The structure in extended XYZ format:
```
4
Lattice="4.293 0.000 0.000 0.000 4.356 0.000 -2.146 0.000 6.130" Properties=species:S:1:pos:R:3 pbc="T T T"
Ca 0.000 0.000 1.846
Ac 2.146 2.178 4.466
Hg 2.146 2.178 1.006
Pt 0.000 0.000 4.941
```

Values from the calculation:
**SG**: Amm2, No. 38
**Excess energy over the best structure of this formula in the dataset**: 0.000 eV/f.u.
**D(E_F)**: 2.53 states/eV/f.u.
**Energy of formation**: -0.80 eV/atom
**VASP energy**: -3.915 eV per atom
**Spin magnetization**: 0.000 μB/cell

---

No. 7
DFT (PBE-GGA) results for a relaxed Tb2Pr6NdEr3 crystal.

The structure in extended XYZ format:
```
12
Lattice="6.316 -0.001 0.017 -3.158 5.470 0.017 -1.081 -1.872 11.727" Properties=species:S:1:pos:R:3 pbc="T T T"
Tb 0.001 3.646 0.017
Pr 2.098 3.632 2.989
Pr -0.025 3.609 8.787
Er -2.118 3.622 5.880
Er 1.039 1.799 5.880
Er 4.196 -0.025 5.880
Pr -1.061 1.815 2.973
Nd 0.000 0.000 0.000
Pr -0.020 -0.035 8.772
Pr 3.139 1.782 8.787
Tb 3.158 1.823 0.017
Pr 2.103 -0.012 2.973
```

Values from the calculation:
**SG**: C2/m, No. 12
**D(E_F)**: 13.75 states/eV/f.u.
**Energy of formation**: 0.01 eV/atom
**VASP energy**: -4.686 eV per atom
**Spin magnetization**: 0.000 μB/cell

---

No. 8
DFT (PBE-GGA) results for a relaxed Ce2NdIn crystal.

The structure in extended XYZ format:
```
4
Lattice="5.088 0.000 0.000 0.000 4.763 0.000 0.000 0.000 4.763" Properties=species:S:1:pos:R:3 pbc="T T T"
Nd 2.544 2.382 2.382
Ce 0.000 0.000 2.382
In 2.544 0.000 0.000
Ce 0.000 2.382 0.000
```

Values from the calculation:
**SG**: P4/mmm, No. 123
**Excess energy over the best structure of this formula in the dataset**: 0.014 eV/f.u.
**D(E_F)**: 11.08 states/eV/f.u.
**Energy of formation**: -0.20 eV/atom
**VASP energy**: -5.041 eV per atom
**Spin magnetization**: 1.853 μB/cell

---

What is the D(E_F) in the first record?
1.86 states/eV/f.u.